w | Computed, not measured: a geometry-optimized Zr2BeB2 structure at the PBE-GGA level of DFT.

Geometry as POSCAR:
```
Zr2BeB2
1.0
3.3762 0.0000 0.0000
1.6881 4.6602 0.1417
1.6881 0.9193 8.0610
B Zr Be
4 4 2
Direct
0.9709 0.1410 0.9173
0.8868 0.6779 0.5486
0.0291 0.8590 0.0827
0.1132 0.3221 0.4514
0.3089 0.2671 0.1152
0.5099 0.6686 0.3117
0.6911 0.7329 0.8848
0.4901 0.3314 0.6883
0.2508 0.9103 0.5881
0.7492 0.0897 0.4119
```

Summary:
M_tot, μB per formula unit: 0.00
DOS(E_F), states/eV/f.u.: 2.9
V, Å³/f.u.: 63.20



x | Computed, not measured: a geometry-optimized Zr2BeB2 structure at the PBE-GGA level of DFT.

Geometry as POSCAR:
```
Zr2BeB2
1.0
-1.1870 3.4931 -4.8618
-1.7316 -4.9449 -3.1300
-3.2260 0.4338 1.0993
B Be Zr
4 2 4
Direct
0.6011 0.1011 0.0000
0.3989 0.8989 0.0000
0.1011 0.3989 0.0000
0.8989 0.6011 0.0000
0.5000 0.5000 0.0000
0.0000 0.0000 0.0000
0.3148 0.1852 0.5000
0.1852 0.6852 0.5000
0.8148 0.3148 0.5000
0.6852 0.8148 0.5000
```

Summary:
M_tot, μB per formula unit: 0.00
DOS(E_F), states/eV/f.u.: 0.8
V, Å³/f.u.: 63.99



Stability check: which of them is most stable? x.



w | Computed, not measured: a geometry-optimized ZrBeB structure at the PBE-GGA level of DFT.

Geometry as POSCAR:
```
ZrBeB
1.0
-3.4909 -3.3062 -1.5388
2.0623 -3.4089 2.6457
-2.4459 -0.1347 5.8380
B Zr Be
4 4 4
Direct
0.8882 0.0867 0.2652
0.6118 0.5867 0.7652
0.3882 0.4133 0.2348
0.1118 0.9133 0.7348
0.8639 0.6762 0.1188
0.6361 0.1762 0.6188
0.1361 0.3238 0.8812
0.3639 0.8238 0.3812
0.8854 0.7332 0.5388
0.6146 0.2332 0.0388
0.3854 0.7668 0.9612
0.1146 0.2668 0.4612
```

Summary:
M_tot, μB per formula unit: 0.00
DOS(E_F), states/eV/f.u.: 1.3
V, Å³/f.u.: 35.67



x | Computed, not measured: a geometry-optimized ZrBeB structure at the PBE-GGA level of DFT.

Geometry as POSCAR:
```
ZrBeB
1.0
-2.6559 -1.3549 -1.6804
1.0409 -1.3808 2.9536
-2.1703 2.0925 1.7430
B Zr Be
1 1 1
Direct
0.6667 0.3333 0.5000
0.0000 0.0000 0.0000
0.3333 0.6667 0.5000
```

Summary:
M_tot, μB per formula unit: 0.00
DOS(E_F), states/eV/f.u.: 1.2
V, Å³/f.u.: 35.33



y | Computed, not measured: a geometry-optimized ZrBeB structure at the PBE-GGA level of DFT.

Geometry as POSCAR:
```
ZrBeB
1.0
-3.2123 0.2326 -1.1234
-2.6419 -3.8005 1.5893
-2.9027 1.8146 3.4973
Be B Zr
2 2 2
Direct
0.5000 0.6758 0.3242
0.5000 0.3242 0.6758
0.0000 0.1539 0.8461
0.0000 0.8461 0.1539
0.2543 0.2457 0.2457
0.7457 0.7543 0.7543
```

Summary:
M_tot, μB per formula unit: 0.00
DOS(E_F), states/eV/f.u.: 1.4
V, Å³/f.u.: 35.41



Stability check: which of them is most stable? x.



w | Computed, not measured: a geometry-optimized ZrBeB3 structure at the PBE-GGA level of DFT.

Geometry as POSCAR:
```
ZrBeB3
1.0
-2.1808 -3.6769 0.8793
-0.2636 -0.8647 -4.2698
3.7713 -2.1866 0.2100
B Be Zr
3 1 1
Direct
0.5000 0.0000 0.0000
0.0000 0.0000 0.5000
0.0000 0.5000 0.0000
0.5000 0.5000 0.5000
0.0000 0.0000 0.0000
```

Summary:
M_tot, μB per formula unit: 0.00
DOS(E_F), states/eV/f.u.: 2.0
V, Å³/f.u.: 83.13



x | Computed, not measured: a geometry-optimized ZrBeB3 structure at the PBE-GGA level of DFT.

Geometry as POSCAR:
```
ZrBeB3
1.0
-2.2798 2.8411 0.5294
-0.8972 -1.3368 3.3102
2.7472 1.9212 1.5204
B Be Zr
3 1 1
Direct
0.5000 0.0000 0.0000
0.0000 0.0000 0.5000
0.0000 0.5000 0.0000
0.0000 0.0000 0.0000
0.5000 0.5000 0.5000
```

Summary:
M_tot, μB per formula unit: 0.00
DOS(E_F), states/eV/f.u.: 1.7
V, Å³/f.u.: 49.88



Stability check: which of them is most stable? x.



w | Computed, not measured: a geometry-optimized Zr2BeB structure at the PBE-GGA level of DFT.

Geometry as POSCAR:
```
Zr2BeB
1.0
0.0000 3.0879 3.0879
3.0879 0.0000 3.0879
3.0879 3.0879 0.0000
Be B Zr
1 1 2
Direct
0.0000 0.0000 0.0000
0.5000 0.5000 0.5000
0.7500 0.7500 0.7500
0.2500 0.2500 0.2500
```

Summary:
M_tot, μB per formula unit: 0.00
DOS(E_F), states/eV/f.u.: 3.9
V, Å³/f.u.: 58.89



x | Computed, not measured: a geometry-optimized Zr2BeB structure at the PBE-GGA level of DFT.

Geometry as POSCAR:
```
Zr2BeB
1.0
-0.6094 4.2598 5.0624
-5.8043 -2.7843 1.6441
-1.7764 -1.1864 5.1446
B Zr Be
2 4 2
Direct
0.7500 0.2500 0.5000
0.0000 0.0000 0.0000
0.0966 0.6250 0.2500
0.6534 0.1250 0.2500
0.8750 0.9034 0.7500
0.3750 0.3466 0.7500
0.2500 0.7500 0.5000
0.5000 0.5000 0.0000
```

Summary:
M_tot, μB per formula unit: 0.00
DOS(E_F), states/eV/f.u.: 2.9
V, Å³/f.u.: 66.06



Stability check: which of them is most stable? w.



w | Computed, not measured: a geometry-optimized BiB structure at the PBE-GGA level of DFT.

Geometry as POSCAR:
```
BiB
1.0
-1.7780 -2.7280 4.1498
3.6149 -3.7332 -0.9053
3.4051 2.5388 3.1279
Bi B
4 4
Direct
0.0000 0.0000 0.5000
0.5000 0.5000 0.5000
0.5000 0.0000 0.0000
0.0000 0.5000 0.0000
0.0000 0.0000 0.0000
0.5000 0.0000 0.5000
0.5000 0.5000 0.0000
0.0000 0.5000 0.5000
```

Summary:
M_tot, μB per formula unit: 0.00
DOS(E_F), states/eV/f.u.: 0.6
V, Å³/f.u.: 36.69



x | Computed, not measured: a geometry-optimized BiB structure at the PBE-GGA level of DFT.

Geometry as POSCAR:
```
BiB
1.0
10.9814 0.0000 0.0000
0.0000 10.9814 0.0000
0.0000 0.0000 4.0503
Bi B
8 8
Direct
0.6112 0.7666 0.5000
0.3888 0.2334 0.5000
0.2334 0.6112 0.5000
0.1061 0.3785 0.0000
0.8939 0.6215 0.0000
0.6215 0.1061 0.0000
0.7666 0.3888 0.5000
0.3785 0.8939 0.0000
0.1155 0.5965 0.0000
0.3836 0.7699 0.5000
0.6164 0.2301 0.5000
0.7699 0.6164 0.5000
0.4035 0.1155 0.0000
0.5965 0.8845 0.0000
0.2301 0.3836 0.5000
0.8845 0.4035 0.0000
```

Summary:
M_tot, μB per formula unit: 0.00
DOS(E_F), states/eV/f.u.: 0.2
V, Å³/f.u.: 61.05



y | Computed, not measured: a geometry-optimized BiB structure at the PBE-GGA level of DFT.

Geometry as POSCAR:
```
BiB
1.0
9.5144 0.0000 0.0000
-4.7572 8.2397 0.0000
0.0000 0.0000 4.0115
Bi B
6 6
Direct
0.0841 0.6742 0.7500
0.5901 0.9159 0.7500
0.3258 0.4099 0.7500
0.9159 0.3258 0.2500
0.6742 0.5901 0.2500
0.4099 0.0841 0.2500
0.5853 0.6639 0.7500
0.4147 0.3361 0.2500
0.0786 0.4147 0.7500
0.3361 0.9214 0.7500
0.6639 0.0786 0.2500
0.9214 0.5853 0.2500
```

Summary:
M_tot, μB per formula unit: 0.00
DOS(E_F), states/eV/f.u.: 0.2
V, Å³/f.u.: 52.41



z | Computed, not measured: a geometry-optimized BiB structure at the PBE-GGA level of DFT.

Geometry as POSCAR:
```
BiB
1.0
-0.3692 -6.0043 -4.6476
6.7719 -2.3648 2.5172
-3.4340 -4.0180 5.4636
Bi B
8 8
Direct
0.8354 0.8354 0.8354
0.1646 0.1646 0.8354
0.3354 0.6646 0.6646
0.6646 0.3354 0.6646
0.3354 0.3354 0.3354
0.8354 0.1646 0.1646
0.6646 0.6646 0.3354
0.1646 0.8354 0.1646
0.8437 0.1563 0.8437
0.8437 0.8437 0.1563
0.1563 0.8437 0.8437
0.6563 0.6563 0.6563
0.1563 0.1563 0.1563
0.3437 0.6563 0.3437
0.3437 0.3437 0.6563
0.6563 0.3437 0.3437
```

Summary:
M_tot, μB per formula unit: 0.00
DOS(E_F), states/eV/f.u.: 0.1
V, Å³/f.u.: 54.91



Stability check: which of them is most stable? y.



w | Computed, not measured: a geometry-optimized BiB structure at the PBE-GGA level of DFT.

Geometry as POSCAR:
```
BiB
1.0
-5.0352 9.3989 -0.9864
-0.9819 -1.6549 -10.7568
-6.9216 -3.5839 1.1831
Bi B
16 16
Direct
0.1653 0.5000 0.5000
0.6653 0.5000 0.0000
0.1653 0.0000 0.0000
0.5847 0.7500 0.7500
0.9153 0.7500 0.7500
0.3347 0.0000 0.5000
0.4153 0.7500 0.2500
0.0847 0.2500 0.7500
0.5847 0.2500 0.2500
0.8347 0.5000 0.5000
0.3347 0.5000 0.0000
0.4153 0.2500 0.7500
0.0847 0.7500 0.2500
0.8347 0.0000 0.0000
0.9153 0.2500 0.2500
0.6653 0.0000 0.5000
0.7500 0.4044 0.2500
0.5000 0.1544 0.5000
0.0000 0.3456 0.5000
0.5000 0.8456 0.5000
0.7500 0.9044 0.7500
0.0000 0.1544 0.0000
0.7500 0.0956 0.2500
0.7500 0.5956 0.7500
0.2500 0.5956 0.2500
0.2500 0.9044 0.2500
0.0000 0.8456 0.0000
0.0000 0.6544 0.5000
0.5000 0.6544 0.0000
0.2500 0.4044 0.7500
0.5000 0.3456 0.0000
0.2500 0.0956 0.7500
```

Summary:
M_tot, μB per formula unit: 0.00
DOS(E_F), states/eV/f.u.: 0.1
V, Å³/f.u.: 57.66



x | Computed, not measured: a geometry-optimized BiB structure at the PBE-GGA level of DFT.

Geometry as POSCAR:
```
BiB
1.0
-5.0983 -4.5285 0.2519
0.4807 -0.1628 6.8048
-4.5100 5.1019 0.4406
B Bi
6 6
Direct
0.5000 0.0000 0.2500
0.5000 0.0000 0.7500
0.2500 0.5000 0.0000
0.0000 0.2500 0.5000
0.7500 0.5000 0.0000
0.0000 0.7500 0.5000
0.5000 0.2500 0.0000
0.7500 0.0000 0.5000
0.2500 0.0000 0.5000
0.0000 0.5000 0.2500
0.5000 0.7500 0.0000
0.0000 0.5000 0.7500
```

Summary:
M_tot, μB per formula unit: 0.00
DOS(E_F), states/eV/f.u.: 0.2
V, Å³/f.u.: 52.96



Stability check: which of them is most stable? x.



w | Computed, not measured: a geometry-optimized BiB2Br structure at the PBE-GGA level of DFT.

Geometry as POSCAR:
```
BiB2Br
1.0
-0.4653 3.1734 3.4069
-4.2432 1.6199 1.1247
-1.9624 -1.2096 4.0718
B Br Bi
2 1 1
Direct
0.2500 0.2500 0.2500
0.7500 0.7500 0.7500
0.0000 0.0000 0.0000
0.5000 0.5000 0.5000
```

Summary:
M_tot, μB per formula unit: 0.00
DOS(E_F), states/eV/f.u.: 2.1
V, Å³/f.u.: 72.44



x | Computed, not measured: a geometry-optimized BiB2Br structure at the PBE-GGA level of DFT.

Geometry as POSCAR:
```
BiB2Br
1.0
5.3035 0.0000 0.0000
0.0000 5.3035 0.0000
2.6517 2.6517 6.2094
Bi B Br
2 4 2
Direct
0.0000 0.0000 0.0000
0.7500 0.2500 0.5000
0.8750 0.8725 0.7500
0.3750 0.3775 0.7500
0.1275 0.6250 0.2500
0.6225 0.1250 0.2500
0.2500 0.7500 0.5000
0.5000 0.5000 0.0000
```

Summary:
M_tot, μB per formula unit: 0.00
DOS(E_F), states/eV/f.u.: 2.8
V, Å³/f.u.: 87.33



Stability check: which of them is most stable? x.



w | Computed, not measured: a geometry-optimized BiBBr2 structure at the PBE-GGA level of DFT.

Geometry as POSCAR:
```
BiBBr2
1.0
4.2654 -1.5510 -2.4491
1.1986 -5.0133 -0.1677
-0.3757 -2.5940 -4.4416
Br Bi B
2 1 1
Direct
0.7500 0.7500 0.7500
0.2500 0.2500 0.2500
0.5000 0.5000 0.5000
0.0000 0.0000 0.0000
```

Summary:
M_tot, μB per formula unit: 0.00
DOS(E_F), states/eV/f.u.: 3.8
V, Å³/f.u.: 97.00



x | Computed, not measured: a geometry-optimized BiBBr2 structure at the PBE-GGA level of DFT.

Geometry as POSCAR:
```
BiBBr2
1.0
2.0371 0.0000 10.3319
-1.0186 1.7642 10.3319
-1.0186 -1.7642 10.3319
B Br Bi
1 2 1
Direct
0.0000 0.0000 0.0000
0.0588 0.0588 0.0588
0.9412 0.9412 0.9412
0.5000 0.5000 0.5000
```

Summary:
M_tot, μB per formula unit: 0.00
DOS(E_F), states/eV/f.u.: 1.6
V, Å³/f.u.: 111.40



Stability check: which of them is most stable? x.